K2ScAgF6 after structural relaxation. Source: the Open Quantum Materials Database, functional PBE.

The value obtained for the total energy is -51.46 eV/f.u. The value obtained for the density is 3.90 g cm⁻³.

The structure belongs to space group R3 (No. 146, hexagonal axes); the cell edges are 6.0983, 6.0983 and 13.6898 Å and the angles 90.00°, 90.00° and 120.00°. The asymmetric unit holds K at (0.0000, 0.0000, 0.0000), K at (0.0000, 0.0000, 0.4927), Sc at (0.0000, 0.0000, 0.7464), Ag at (0.0000, 0.0000, 0.2461), F at (0.0385, 0.6074, 0.4953) and F at (0.0978, 0.3711, 0.3313).

TcGe after structural relaxation. Source: the Open Quantum Materials Database, functional PBE.

The value obtained for the density is 6.50 g cm⁻³. For the energy above the lowest structure with this stoichiometry, the calculation gives 1131 meV/atom.

The structure belongs to space group F-43m (No. 216); the cell edges are 5.5874, 5.5874 and 5.5874 Å and the angles 90.00°, 90.00° and 90.00°. The asymmetric unit holds Tc at (0.0000, 0.0000, 0.0000) and Ge at (0.2500, 0.2500, 0.2500).

SmHoHg after structural relaxation. Source: the Open Quantum Materials Database, functional PBE.

The value obtained for the energy of formation is 0.027 eV per atom. The value obtained for the density is 11.19 g cm⁻³. For the energy above the lowest structure with this stoichiometry, the calculation gives 130 meV/atom.

The structure belongs to space group P3m1 (No. 156); the cell edges are 5.2299, 5.2299 and 9.6923 Å and the angles 90.00°, 90.00° and 120.00°. The asymmetric unit holds Sm at (0.0000, 0.0000, 0.0000), Sm at (0.0000, 0.0000, 0.3347), Sm at (0.3333, 0.6667, 0.6540), Ho at (0.0000, 0.0000, 0.6682), Ho at (0.3333, 0.6667, 0.3187), Ho at (0.3333, 0.6667, 0.9865), Hg at (0.6667, 0.3333, 0.1601), Hg at (0.6667, 0.3333, 0.4930) and Hg at (0.6667, 0.3333, 0.8278).

BeNbNiPb after structural relaxation. Source: the Open Quantum Materials Database, functional PBE.

The value obtained for the density is 9.86 g cm⁻³. For the energy above the lowest structure with this stoichiometry, the calculation gives 0 meV/atom.

The structure belongs to space group F-43m (No. 216); the cell edges are 6.2813, 6.2813 and 6.2813 Å and the angles 90.00°, 90.00° and 90.00°. The asymmetric unit holds Be at (0.0000, 0.0000, 0.0000), Nb at (0.2500, 0.2500, 0.7500), Ni at (0.0000, 0.0000, 0.5000) and Pb at (0.2500, 0.2500, 0.2500).

GdHo2FeNi8 after structural relaxation. Source: the Open Quantum Materials Database, functional PBE.

The value obtained for the energy of formation is -0.352 eV per atom. The value obtained for the density is 9.89 g cm⁻³.

The structure belongs to space group R-3m (No. 166, hexagonal axes); the cell edges are 4.9293, 4.9293 and 24.2411 Å and the angles 90.00°, 90.00° and 120.00°. The asymmetric unit holds Gd at (0.0000, 0.0000, 0.0000), Ho at (0.0000, 0.0000, 0.1400), Fe at (0.0000, 0.0000, 0.5000), Ni at (0.0000, 0.0000, 0.3330) and Ni at (0.0002, 0.5001, 0.0830).

YTcAsO after structural relaxation. Source: the Open Quantum Materials Database, functional PBE.

The value obtained for the density is 6.90 g cm⁻³. For the energy above the lowest structure with this stoichiometry, the calculation gives 0 meV/atom.

The structure belongs to space group P4/nmm (No. 129, origin choice 2); the cell edges are 3.9578, 3.9578 and 8.5338 Å and the angles 90.00°, 90.00° and 90.00°. The asymmetric unit holds Y at (0.2500, 0.2500, 0.1282), Tc at (0.2500, 0.7500, 0.5000), As at (0.2500, 0.2500, 0.6792) and O at (0.2500, 0.7500, 0.0000).

CsPmSc after structural relaxation. Source: the Open Quantum Materials Database, functional PBE.

The value obtained for the density is 3.69 g cm⁻³. For the energy above the lowest structure with this stoichiometry, the calculation gives 0 meV/atom.

The structure belongs to space group F-43m (No. 216); the cell edges are 8.3465, 8.3465 and 8.3465 Å and the angles 90.00°, 90.00° and 90.00°. The asymmetric unit holds Cs at (0.0000, 0.0000, 0.0000), Pm at (0.0000, 0.0000, 0.5000) and Sc at (0.2500, 0.2500, 0.2500).

Dy2CoSi2WC after structural relaxation. Source: the Open Quantum Materials Database, functional PBE.

The value obtained for the total energy is -53.31 eV/f.u. The value obtained for the density is 9.07 g cm⁻³.

The structure belongs to space group Cm (No. 8); the cell edges are 10.9158, 3.8835 and 6.9600 Å and the angles 90.00°, 127.92° and 90.00°. The asymmetric unit holds Dy at (0.0000, 0.0000, 0.0000), Dy at (0.1364, 0.0000, 0.5943), Co at (0.2732, 0.5000, 0.3853), Si at (0.1998, 0.5000, 0.9765), Si at (0.4091, 0.0000, 0.6009), W at (0.3688, 0.0000, 0.2081) and C at (0.0777, 0.5000, 0.3042).

NpInSn after structural relaxation. Source: the Open Quantum Materials Database, functional PBE.

The value obtained for the total energy is -18.42 eV/f.u. The value obtained for the density is 8.79 g cm⁻³.

The structure belongs to space group F-43m (No. 216); the cell edges are 7.0842, 7.0842 and 7.0842 Å and the angles 90.00°, 90.00° and 90.00°. The asymmetric unit holds Np at (0.0000, 0.0000, 0.0000), In at (0.2500, 0.2500, 0.2500) and Sn at (0.0000, 0.0000, 0.5000).

LuBeW after structural relaxation. Source: the Open Quantum Materials Database, functional PBE.

The value obtained for the density is 9.23 g cm⁻³. For the energy above the lowest structure with this stoichiometry, the calculation gives 390 meV/atom.

The structure belongs to space group F-43m (No. 216); the cell edges are 6.4203, 6.4203 and 6.4203 Å and the angles 90.00°, 90.00° and 90.00°. The asymmetric unit holds Lu at (0.0000, 0.0000, 0.0000), Be at (0.2500, 0.2500, 0.7500) and W at (0.2500, 0.2500, 0.2500).

GdScAlCo2 after structural relaxation. Source: the Open Quantum Materials Database, functional PBE.

The value obtained for the total energy is -30.95 eV/f.u. The value obtained for the density is 6.66 g cm⁻³.

The structure belongs to space group Imm2 (No. 44); the cell edges are 3.9953, 5.3652 and 8.0701 Å and the angles 90.00°, 90.00° and 90.00°. The asymmetric unit holds Gd at (0.0000, 0.0000, 0.0000), Sc at (0.0000, 0.0000, 0.4094), Al at (0.0000, 0.5000, 0.2012) and Co at (0.0000, 0.2749, 0.7059).

HfRe2 after structural relaxation. Source: the Open Quantum Materials Database, functional PBE.

The value obtained for the energy of formation is -0.354 eV per atom. The value obtained for the density is 17.70 g cm⁻³.

The structure belongs to space group Fd-3m (No. 227, origin choice 2); the cell edges are 7.4505, 7.4505 and 7.4505 Å and the angles 90.00°, 90.00° and 90.00°. The asymmetric unit holds Hf at (0.1250, 0.1250, 0.1250) and Re at (0.0000, 0.0000, 0.5000).